Record 1
Material: TiSi2Ge
Method: DFT, GGA-PBE
State: relaxed

Lattice parameters (Å, degrees): 5.6830 5.6830 5.6830 102.37 102.37 124.86
Fractional positions:
Ti 0.0000 0.0000 0.0000
Ti 0.7500 0.2500 0.5000
Si 0.1338 0.6250 0.0088
Si 0.3750 0.3838 0.5088
Si 0.6162 0.1250 0.9912
Si 0.8750 0.8662 0.4912
Ge 0.2500 0.7500 0.5000
Ge 0.5000 0.5000 0.0000

Results
- Energy relative to the elements, uncorrected: 0.1391 eV per atom
- Electronic total energy: -45.604 eV/cell


Record 2
Material: Ti2SiGe
Method: DFT, GGA-PBE
State: relaxed

Lattice parameters (Å, degrees): 3.6480 5.0844 5.0844 41.26 90.00 90.00
Fractional positions:
Ti 0.0000 0.0000 0.0000
Ti 0.5000 0.2853 0.2853
Si 0.5000 0.5523 0.5523
Ge 0.0000 0.7286 0.7286

Results
- Energy relative to the elements, uncorrected: -0.6616 eV per atom
- Electronic total energy: -28.477 eV/cell